No. 1
24
Lattice="4.7737 0.0000 0.0000 0.0000 7.1568 0.0000 0.0000 0.0000 8.7164" Properties=species:S:1:pos:R:3 comment="meta-GGA SCAN TbCO4, PBEsol geometry" formation_energy_uncorrected_ev_per_fu=-13.49 total_energy_ry_per_atom=-1.167 spacegroup="P2_12_12_1 (19)" pbc="T T T"
Tb 0.1633 0.9669 1.4473
Tb 2.2235 6.1899 5.8056
Tb 2.5502 2.6115 7.2691
Tb 4.6104 4.5453 2.9109
C 0.0622 0.2817 7.2803
C 2.3247 6.8751 2.9221
C 2.4490 3.2967 1.4361
C 4.7115 3.8601 5.7943
O 0.1470 5.9103 1.2205
O 0.2015 3.0919 6.7754
O 0.8343 4.4098 5.0462
O 1.0696 6.6551 3.2232
O 1.3173 0.5017 7.5814
O 1.5525 2.7471 0.6880
O 2.1854 4.0650 2.4172
O 2.2398 1.2466 5.5787
O 2.5339 4.8250 7.4959
O 2.5883 0.4866 1.9410
O 3.2212 6.3255 3.6702
O 3.4564 4.0801 5.4932
O 3.7041 3.0767 1.1350
O 3.9394 0.8313 8.0285
O 4.5722 6.6703 6.2992
O 4.6267 2.3319 3.1377

=====

No. 2
108
Lattice="11.8553 0.0000 0.0000 -5.9277 10.2670 0.0000 0.0000 0.0000 9.6436" Properties=species:S:1:pos:R:3 comment="meta-GGA SCAN TbCO4, PBEsol geometry" formation_energy_uncorrected_ev_per_fu=-13.92 total_energy_ry_per_atom=-1.172 spacegroup="P-6 (174)" pbc="T T T"
Tb -2.0430 7.9986 2.3785
Tb -2.0430 7.9986 7.2651
Tb 0.0221 4.4984 2.3785
Tb 0.0221 4.4984 7.2651
Tb 2.0257 1.1495 2.3578
Tb 2.0257 1.1495 7.2858
Tb 5.9113 1.0866 2.4875
Tb 5.9113 1.0866 7.1561
Tb 3.9130 4.6043 2.4875
Tb 3.9130 4.6043 7.1561
Tb 2.0209 8.0370 2.3785
Tb 2.0209 8.0370 7.2651
Tb 5.9103 7.9380 2.3578
Tb 5.9103 7.9380 7.2858
Tb 9.8470 1.1795 2.3578
Tb 9.8470 1.1795 7.2858
Tb 7.9586 4.5761 2.4875
Tb 7.9586 4.5761 7.1561
C -4.6175 8.5190 4.8218
C -4.1553 9.0924 0.0000
C 0.1311 2.1222 0.0000
C -1.8833 5.8913 0.0000
C -2.1538 6.5409 4.8218
C 0.8588 2.0086 4.8218
C 1.3400 5.1313 4.8218
C 1.7673 5.6903 0.0000
C 0.1160 8.9523 0.0000
C 4.1578 2.2667 4.8218
C 4.6036 1.6213 0.0000
C 0.8138 8.8618 4.8218
C 5.0299 5.4696 0.0000
C 5.8118 5.5329 4.8218
C 7.8134 2.4674 4.8218
C 4.0242 9.3194 0.0000
C 3.7588 10.0064 4.8218
C 8.1495 3.1762 0.0000
O 0.0000 0.0000 2.3966
O 0.0000 0.0000 7.2470
O -1.9402 3.4243 2.9315
O -1.9402 3.4243 6.7122
O -4.0114 8.5516 3.6881
O -4.0114 8.5516 5.9556
O -0.4197 2.4599 1.1171
O -0.4197 2.4599 8.5265
O -2.4537 6.0058 3.6928
O -2.4537 6.0058 5.9508
O -1.8507 5.2541 1.1206
O -1.8507 5.2541 8.5230
O -3.5875 9.4005 1.1171
O -3.5875 9.4005 8.5265
O 0.5275 2.5172 3.6881
O 0.5275 2.5172 5.9556
O 1.2264 1.4575 0.0000
O 1.6030 0.9496 4.8218
O -1.9480 7.1758 0.0000
O -1.5760 7.6950 4.8218
O 0.0516 5.0547 4.8218
O 0.6873 4.9921 0.0000
O -1.9921 10.2351 2.9315
O -1.9921 10.2351 6.7122
O 0.0000 6.8447 2.4502
O 0.0000 6.8447 7.1934
O 2.0259 3.4117 1.8758
O 2.0259 3.4117 7.7678
O -0.4522 9.2427 1.1206
O -0.4522 9.2427 8.5230
O 1.9533 5.1391 3.6928
O 1.9533 5.1391 5.9508
O 3.9879 1.6545 1.1272
O 3.9879 1.6545 8.5165
O 3.6034 2.5848 3.7005
O 3.6034 2.5848 5.9431
O 2.3028 6.0373 1.1206
O 2.3028 6.0373 8.5230
O 0.5004 9.3891 3.6928
O 0.5004 9.3891 5.9508
O 1.5244 7.7844 4.8218
O 1.2608 8.3661 0.0000
O 5.2704 1.6281 4.8218
O 5.8923 1.5250 0.0000
O 4.3022 4.4016 0.0000
O 4.7024 4.8886 4.8218
O 3.9322 6.8747 2.9315
O 3.9322 6.8747 6.7122
O 5.9277 3.4223 2.3942
O 5.9277 3.4223 7.2494
O 7.8877 0.0486 1.8758
O 7.8877 0.0486 7.7678
O 5.3665 5.9862 1.1272
O 5.3665 5.9862 8.5165
O 7.8152 1.8282 3.7005
O 7.8152 1.8282 5.9431
O 3.4840 9.4652 3.6881
O 3.4840 9.4652 5.9556
O 4.0072 8.6737 1.1171
O 4.0072 8.6737 8.5265
O 6.3644 5.8540 3.7005
O 6.3644 5.8540 5.9431
O 8.4286 2.6264 1.1272
O 8.4286 2.6264 8.5165
O 7.8102 3.7503 4.8218
O 7.5885 4.3404 0.0000
O 9.9799 0.3334 0.0000
O 10.2315 0.9135 4.8218
O 5.9485 8.4040 4.8218
O 6.5767 8.4762 0.0000
O 7.8694 6.8067 1.8758
O 7.8694 6.8067 7.7678

=====

No. 3
20
Lattice="5.2433 0.0000 0.0000 0.0000 4.8373 0.0000 -0.0238 0.0000 7.9544" Properties=species:S:1:pos:R:3 comment="meta-GGA SCAN TbCO3, PBEsol geometry" formation_energy_uncorrected_ev_per_fu=-13.00 total_energy_ry_per_atom=-1.302 spacegroup="P2_1/m (11)" pbc="T T T"
Tb 1.2711 1.2093 0.7973
Tb 1.2982 3.6280 4.5149
Tb 3.9213 1.2093 3.4395
Tb 3.9484 3.6280 7.1571
C 0.9937 1.2093 5.9448
C 2.5690 1.2093 6.0096
C 2.6505 3.6280 1.9449
C 4.2258 3.6280 2.0096
O 0.5632 0.0574 6.5686
O 0.5632 2.3612 6.5686
O 0.6483 1.2093 4.5800
O 2.1748 2.4906 2.6112
O 2.1748 4.7654 2.6112
O 2.1999 3.6280 0.6463
O 3.0196 1.2093 7.3081
O 3.0447 0.0719 5.3433
O 3.0447 2.3467 5.3433
O 4.5712 3.6280 3.3744
O 4.6563 2.4761 1.3858
O 4.6563 4.7798 1.3858

=====

No. 4
8
Lattice="0.0000 3.6591 3.6591 3.6591 0.0000 3.6591 3.6591 3.6591 0.0000" Properties=species:S:1:pos:R:3 comment="meta-GGA SCAN TlCO2, PBEsol geometry" formation_energy_uncorrected_ev_per_fu=1.11 total_energy_ry_per_atom=-1.724 spacegroup="Fd-3m (227)" pbc="T T T"
Tl 0.9148 0.9148 0.9148
Tl 6.4034 6.4034 6.4034
C 2.7443 2.7443 2.7443
C 4.5738 4.5738 4.5738
O 3.6591 1.8295 1.8295
O 1.8295 3.6591 1.8295
O 1.8295 1.8295 3.6591
O 3.6591 3.6591 3.6591

=====

No. 5
16
Lattice="6.5314 0.0000 0.0000 0.0000 5.7430 0.0000 -0.9075 0.0000 6.6427" Properties=species:S:1:pos:R:3 comment="meta-GGA SCAN TlCO2, PBEsol geometry" formation_energy_uncorrected_ev_per_fu=-4.49 total_energy_ry_per_atom=-1.827 spacegroup="P2_1/c (14)" pbc="T T T"
Tl 0.8924 0.3481 2.1192
Tl 0.4387 2.5234 5.4405
Tl 5.1852 3.2196 1.2022
Tl 4.7314 5.3949 4.5236
C 2.3984 3.4345 2.9796
C 1.9446 5.1800 6.3010
C 3.6792 0.5630 0.3417
C 3.2255 2.3085 3.6631
O 1.1360 3.3494 3.0277
O 0.6822 5.2651 6.3491
O 2.5817 1.3665 4.2211
O 3.0354 1.5050 0.8997
O 2.5884 4.2380 5.7430
O 3.0422 4.3765 2.4217
O 4.9416 0.4779 0.2936
O 4.4879 2.3936 3.6150

=====

No. 6
5
Lattice="4.7312 0.0000 0.0000 0.0000 4.7312 0.0000 0.0000 0.0000 4.7312" Properties=species:S:1:pos:R:3 comment="meta-GGA SCAN Y3CO, PBEsol geometry" formation_energy_uncorrected_ev_per_fu=-0.90 total_energy_ry_per_atom=-1.481 spacegroup="Pm-3m (221)" pbc="T T T"
Y 0.0000 0.0000 2.3656
Y 0.0000 2.3656 0.0000
Y 2.3656 0.0000 0.0000
C 0.0000 0.0000 0.0000
O 2.3656 2.3656 2.3656

=====

No. 7
4
Lattice="3.2212 0.0000 0.0000 0.0000 3.2212 0.0000 0.0000 0.0000 3.2212" Properties=species:S:1:pos:R:3 comment="meta-GGA SCAN OsC3, PBEsol geometry" formation_enthalpy_0k_ev_per_atom=3.331 total_energy_ry_per_atom=-1.633 spacegroup="Pm-3m (221)" pbc="T T T"
Os 0.0000 0.0000 0.0000
C 0.0000 1.6106 1.6106
C 1.6106 0.0000 1.6106
C 1.6106 1.6106 0.0000